{
  "formula": "Nd3HoO6",
  "functional": "PBE",
  "state": "optimized geometry",
  "dft_energy_ev_per_cell": -165.81,
  "dos_ef_per_ev_cell": 0.000,
  "e_form_raw_ev_per_atom": -3.4274,
  "lattice_angstrom": [[4.998, 2.886, 3.886], [-4.998, 2.886, 3.886], [0.000, -5.771, 3.886]],
  "species": ["Nd", "Nd", "Nd", "Nd", "Nd", "Nd", "Ho", "Ho", "O", "O", "O", "O", "O", "O", "O", "O", "O", "O", "O", "O"],
  "fractional_positions": [[0.057, 0.752, 0.564], [0.248, 0.436, 0.943], [0.436, 0.943, 0.248], [0.564, 0.057, 0.752], [0.752, 0.564, 0.057], [0.943, 0.248, 0.436], [0.000, 0.000, 0.000], [0.500, 0.500, 0.500], [0.033, 0.691, 0.903], [0.097, 0.967, 0.309], [0.191, 0.433, 0.590], [0.309, 0.097, 0.967], [0.410, 0.809, 0.567], [0.433, 0.590, 0.191], [0.567, 0.410, 0.809], [0.590, 0.191, 0.433], [0.691, 0.903, 0.033], [0.809, 0.567, 0.410], [0.903, 0.033, 0.691], [0.967, 0.309, 0.097]]
}